BaPu2F11 | PBE-GGA | optimized geometry

abc: 8.874 9.159 9.159
angles: 69.46 61.02 61.02
Last column: magnetic moment on the atom in μB.
Atoms (fractional coordinates):
F (0.141, 0.057, 0.187)  -0.04
F (0.859, 0.943, 0.813)  -0.04
F (0.706, 0.666, 0.078)  -0.04
F (0.206, 0.578, 0.166)  -0.04
F (0.500, 0.500, 0.500)  -0.03
F (0.294, 0.334, 0.922)  -0.04
F (0.385, 0.813, 0.943)  -0.04
F (0.115, 0.557, 0.687)  -0.04
Pu (0.152, 0.827, 0.173)  3.68
F (0.615, 0.187, 0.057)  -0.04
Ba (0.250, 0.250, 0.250)  -0.01
F (0.846, 0.787, 0.213)  -0.03
Pu (0.848, 0.173, 0.827)  3.68
F (0.051, 0.166, 0.578)  -0.04
F (0.641, 0.687, 0.557)  -0.04
F (0.000, 0.000, 0.000)  -0.03
F (0.346, 0.713, 0.287)  -0.03
F (0.654, 0.287, 0.713)  -0.03
Pu (0.652, 0.673, 0.327)  3.68
F (0.359, 0.313, 0.443)  -0.04
F (0.551, 0.078, 0.666)  -0.04
F (0.449, 0.922, 0.334)  -0.04
F (0.794, 0.422, 0.834)  -0.04
Ba (0.750, 0.750, 0.750)  -0.01
Pu (0.348, 0.327, 0.673)  3.68
F (0.885, 0.443, 0.313)  -0.04
F (0.949, 0.834, 0.422)  -0.04
F (0.154, 0.213, 0.787)  -0.03

Properties
**Raw formation energy**: -3.4523 eV/atom
**SG**: Ibam (72)

Rb2BaPuF6 | PBE-GGA | optimized geometry

abc: 6.856 6.928 9.691
angles: 89.99 90.38 90.00
Last column: magnetic moment on the atom in μB.
Atoms (fractional coordinates):
F (0.236, 0.215, 0.438)  -0.01
F (0.288, 0.735, 0.438)  -0.01
F (0.264, 0.716, 0.062)  -0.01
Pu (0.000, 0.500, 0.000)  5.54
Pu (0.500, 0.000, 0.500)  5.54
F (0.788, 0.765, 0.938)  -0.01
Rb (0.517, 0.533, 0.749)  0.00
F (0.601, 0.050, 0.262)  -0.01
F (0.399, 0.950, 0.738)  -0.01
Ba (0.500, 0.000, 0.000)  0.01
F (0.101, 0.450, 0.762)  -0.01
Rb (0.483, 0.467, 0.251)  0.00
F (0.712, 0.265, 0.562)  -0.01
F (0.212, 0.235, 0.062)  -0.01
F (0.736, 0.284, 0.938)  -0.01
F (0.764, 0.785, 0.562)  -0.01
F (0.899, 0.550, 0.238)  -0.01
Rb (0.983, 0.033, 0.751)  0.00
Rb (0.017, 0.967, 0.249)  0.00
Ba (0.000, 0.500, 0.500)  0.01

Properties
**Raw formation energy**: -3.1215 eV/atom
**SG**: P2_1/c (14)

Rb2BaPu3F12 | PBE-GGA | optimized geometry

abc: 8.145 8.145 8.145
angles: 64.60 64.60 64.60
Last column: magnetic moment on the atom in μB.
Atoms (fractional coordinates):
F (0.260, 0.260, 0.889)  -0.01
F (0.132, 0.595, 0.132)  -0.01
Rb (0.364, 0.364, 0.364)  0.00
F (0.868, 0.405, 0.868)  -0.01
Rb (0.636, 0.636, 0.636)  0.00
F (0.740, 0.111, 0.740)  -0.01
F (0.260, 0.889, 0.260)  -0.01
F (0.868, 0.868, 0.405)  -0.01
F (0.132, 0.132, 0.595)  -0.01
F (0.740, 0.740, 0.111)  -0.01
F (0.889, 0.260, 0.260)  -0.01
Pu (0.000, 0.500, 0.000)  5.26
Pu (0.500, 0.000, 0.000)  5.26
F (0.111, 0.740, 0.740)  -0.01
F (0.405, 0.868, 0.868)  -0.01
Ba (0.000, 0.000, 0.000)  0.01
F (0.595, 0.132, 0.132)  -0.01
Pu (0.000, 0.000, 0.500)  5.26

Properties
**Raw formation energy**: -3.3280 eV/atom
**SG**: R-3m (166)

Rb2BaPuF8 | PBE-GGA | optimized geometry

abc: 6.251 6.251 7.397
angles: 114.99 114.99 90.00
Last column: magnetic moment on the atom in μB.
Atoms (fractional coordinates):
F (0.919, 0.842, 0.274)  -0.01
F (0.919, 0.432, 0.274)  -0.01
Rb (0.000, 0.000, 0.000)  0.00
Pu (0.250, 0.750, 0.500)  4.08
F (0.568, 0.645, 0.726)  -0.01
Rb (0.750, 0.250, 0.500)  0.00
F (0.355, 0.432, 0.274)  -0.01
F (0.568, 0.081, 0.726)  -0.01
F (0.158, 0.081, 0.726)  -0.01
F (0.355, 0.842, 0.274)  -0.01
F (0.158, 0.645, 0.726)  -0.01
Ba (0.500, 0.500, 0.000)  0.00

Properties
**Raw formation energy**: -3.3717 eV/atom
**SG**: I-4m2 (119)

BaPuS2F | PBE-GGA | optimized geometry

abc: 4.109 4.109 14.371
angles: 90.00 90.00 90.00
Last column: magnetic moment on the atom in μB.
Atoms (fractional coordinates):
S (0.000, 0.500, 0.089)  -0.14
F (0.000, 0.000, 0.500)  0.00
Ba (0.500, 0.000, 0.616)  -0.01
Pu (0.000, 0.500, 0.894)  5.09
S (0.500, 0.000, 0.283)  -0.11
Pu (0.500, 0.000, 0.106)  5.09
S (0.000, 0.500, 0.717)  -0.11
S (0.500, 0.000, 0.911)  -0.14
F (0.500, 0.500, 0.500)  0.00
Ba (0.000, 0.500, 0.384)  -0.01

Properties
**Raw formation energy**: -2.3617 eV/atom
**SG**: P4/nmm (129)

Ba2PuTlF8 | PBE-GGA | optimized geometry

abc: 6.114 6.114 7.583
angles: 113.77 113.77 90.00
Last column: magnetic moment on the atom in μB.
Atoms (fractional coordinates):
Ba (0.750, 0.250, 0.500)  0.00
F (0.122, 0.084, 0.723)  0.00
F (0.601, 0.639, 0.723)  0.00
F (0.122, 0.639, 0.723)  0.00
F (0.916, 0.878, 0.277)  0.00
Ba (0.000, 0.000, 0.000)  0.00
F (0.601, 0.084, 0.723)  0.00
F (0.916, 0.399, 0.277)  0.00
F (0.361, 0.399, 0.277)  0.00
Tl (0.500, 0.500, 0.000)  0.00
Pu (0.250, 0.750, 0.500)  4.99
F (0.361, 0.878, 0.277)  0.00

Properties
**Raw formation energy**: -3.4403 eV/atom
**SG**: I-4m2 (119)

BaPuTlF6 | PBE-GGA | optimized geometry

abc: 6.889 6.889 9.776
angles: 90.00 90.00 120.00
Last column: magnetic moment on the atom in μB.
Atoms (fractional coordinates):
F (0.965, 0.617, 0.365)  -0.01
F (0.348, 0.383, 0.865)  -0.01
F (0.652, 0.035, 0.365)  -0.01
Pu (0.333, 0.667, 0.750)  4.98
F (0.035, 0.652, 0.865)  -0.01
F (0.348, 0.965, 0.635)  -0.01
Tl (0.000, 0.000, 0.000)  0.00
Ba (0.667, 0.333, 0.750)  0.00
F (0.617, 0.965, 0.865)  -0.01
F (0.965, 0.348, 0.135)  -0.01
Pu (0.667, 0.333, 0.250)  4.98
F (0.617, 0.652, 0.635)  -0.01
F (0.035, 0.383, 0.635)  -0.01
F (0.383, 0.035, 0.135)  -0.01
Tl (0.000, 0.000, 0.500)  0.00
F (0.652, 0.617, 0.135)  -0.01
Ba (0.333, 0.667, 0.250)  0.00
F (0.383, 0.348, 0.365)  -0.01

Properties
**Raw formation energy**: -3.2159 eV/atom
**SG**: P-31c (163)

Ba2PuZn3F12 | PBE-GGA | optimized geometry

abc: 7.223 7.223 7.223
angles: 62.13 62.13 62.13
Last column: magnetic moment on the atom in μB.
Atoms (fractional coordinates):
Zn (0.000, 0.500, 0.000)  0.00
Zn (0.000, 0.000, 0.500)  0.00
F (0.142, 0.142, 0.578)  0.00
Pu (0.000, 0.000, 0.000)  5.54
F (0.274, 0.274, 0.861)  0.00
F (0.578, 0.142, 0.142)  0.00
F (0.274, 0.861, 0.274)  0.00
F (0.139, 0.726, 0.726)  0.00
Zn (0.500, 0.000, 0.000)  0.00
Ba (0.613, 0.613, 0.613)  0.00
Ba (0.387, 0.387, 0.387)  0.00
F (0.726, 0.139, 0.726)  0.00
F (0.726, 0.726, 0.139)  0.00
F (0.142, 0.578, 0.142)  0.00
F (0.861, 0.274, 0.274)  0.00
F (0.858, 0.422, 0.858)  0.00
F (0.422, 0.858, 0.858)  0.00
F (0.858, 0.858, 0.422)  0.00

Properties
**Raw formation energy**: -2.9147 eV/atom
**SG**: R-3m (166)